(1)
## ZrCr2Tc (PBE)

Data for ZrCr2Tc after structural relaxation.

POSCAR file:
```
ZrCr2Tc
1.0
-3.7968 -1.7062 1.3189
0.2640 -3.0181 -3.1445
1.5162 -1.8804 1.9321
Cr Tc Zr
2 1 1
Direct
0.0000 0.0000 0.0000 Cr
0.5000 0.5000 0.0000 Cr
0.5000 0.0000 0.5000 Tc
0.0000 0.5000 0.5000 Zr
```

Results
Mass density ... 8.26 Mg/m³
Formation energy ... 0.13 eV per atom
M_tot ... 0.00 Bohr magnetons per cell


(2)
## USnPt (PBE)

Data for USnPt after structural relaxation.

POSCAR file:
```
USnPt
1.0
4.7031 0.0000 0.0000
2.3515 4.0730 0.0000
2.3515 1.3577 3.8400
U Sn Pt
1 1 1
Direct
0.5000 0.5000 0.5000 U
0.0000 0.0000 0.0000 Sn
0.2500 0.2500 0.2500 Pt
```

Results
Mass density ... 12.46 Mg/m³
Formation energy ... -0.51 eV per atom
M_tot ... 1.99 Bohr magnetons per cell


(3)
## LiErSiAg (PBE)

Data for LiErSiAg after structural relaxation.

POSCAR file:
```
LiErSiAg
1.0
4.7637 0.0000 0.0000
2.3819 4.1255 0.0000
2.3819 1.3752 3.8896
Si Li Ag Er
1 1 1 1
Direct
0.2500 0.2500 0.2500 Si
0.5000 0.5000 0.5000 Li
0.7500 0.7500 0.7500 Ag
0.0000 0.0000 0.0000 Er
```

Results
Mass density ... 6.74 Mg/m³
E_form (uncorrected) ... -0.346 eV/atom
M_tot ... 0.00 Bohr magnetons per cell